1.
Below is a geometry-optimized Ac2PuTl structure, with properties calculated at the GGA-PBE level.

Computed properties:
For the energy above the most stable polymorph in this dataset, the calculation gives 12.1 meV/atom. As for the calculated formation energy: 0.01 eV per atom. Its symmetry is P4/mmm, No. 123.

Lattice parameters (Å, degrees): 5.4032 5.4032 4.7659 90.00 90.00 90.00
Sites, in units of the cell vectors:
1 Ac 0.0000 0.5000 0.0000
2 Ac 0.5000 0.0000 0.0000
3 Pu 0.0000 0.0000 0.5000
4 Tl 0.5000 0.5000 0.5000

2.
Below is a geometry-optimized CuPt6Rh4 structure, with properties calculated at the GGA-PBE level.

Computed properties:
As for the calculated formation energy: 0.61 eV per atom. Its symmetry is I-42m, No. 121.

Lattice parameters (Å, degrees): 6.4821 6.4821 6.4821 116.91 116.91 95.45
Sites, in units of the cell vectors:
1 Cu 0.0000 0.0000 0.0000
2 Pt 0.0000 0.5000 0.5000
3 Pt 0.1205 0.3976 0.0000
4 Pt 0.3976 0.1205 0.0000
5 Pt 0.5000 0.0000 0.5000
6 Pt 0.6024 0.6024 0.7230
7 Pt 0.8795 0.8795 0.2770
8 Rh 0.2603 0.2603 0.6440
9 Rh 0.3836 0.7397 0.0000
10 Rh 0.6164 0.6164 0.3560
11 Rh 0.7397 0.3836 0.0000

3.
Below is a geometry-optimized LaGaAg2 structure, with properties calculated at the GGA-PBE level.

Computed properties:
As for the calculated formation energy: -0.06 eV per atom. Its symmetry is I-42d, No. 122.

Lattice parameters (Å, degrees): 9.6852 9.6852 9.6852 151.22 151.22 41.16
Sites, in units of the cell vectors:
1 La 0.0000 0.0000 0.0000
2 La 0.7500 0.2500 0.5000
3 Ga 0.2500 0.7500 0.5000
4 Ga 0.5000 0.5000 0.0000
5 Ag 0.2440 0.6250 0.1190
6 Ag 0.3750 0.4940 0.6190
7 Ag 0.5060 0.1250 0.8810
8 Ag 0.8750 0.7560 0.3810

4.
Below is a geometry-optimized ZrOsPt2 structure, with properties calculated at the GGA-PBE level.

Computed properties:
As for the calculated formation energy: -0.17 eV per atom. Its symmetry is Fm-3m, No. 225.

Lattice parameters (Å, degrees): 4.5810 4.5810 4.5810 60.00 60.00 60.00
Sites, in units of the cell vectors:
1 Zr 0.0000 0.0000 0.0000
2 Os 0.5000 0.5000 0.5000
3 Pt 0.2500 0.2500 0.2500
4 Pt 0.7500 0.7500 0.7500

5.
Below is a geometry-optimized Zr4BeAg structure, with properties calculated at the GGA-PBE level.

Computed properties:
As for the calculated formation energy: 0.60 eV per atom. Its symmetry is F-43m, No. 216.

Lattice parameters (Å, degrees): 5.6694 5.6694 5.6694 60.00 60.00 60.00
Sites, in units of the cell vectors:
1 Zr 0.1255 0.1255 0.1255
2 Zr 0.1255 0.1255 0.6236
3 Zr 0.1255 0.6236 0.1255
4 Zr 0.6236 0.1255 0.1255
5 Be 0.5000 0.5000 0.5000
6 Ag 0.7500 0.7500 0.7500

6.
Below is a geometry-optimized CeNd8Ho2 structure, with properties calculated at the GGA-PBE level.

Computed properties:
As for the calculated formation energy: 0.12 eV per atom. Its symmetry is Immm, No. 71.

Lattice parameters (Å, degrees): 9.4626 9.4626 9.4626 144.87 128.33 64.02
Sites, in units of the cell vectors:
1 Ce 0.0000 0.0000 0.0000
2 Nd 0.1567 0.8645 0.2922
3 Nd 0.1633 0.6633 0.5000
4 Nd 0.2888 0.5000 0.7888
5 Nd 0.4278 0.1355 0.2922
6 Nd 0.5722 0.8645 0.7078
7 Nd 0.7112 0.5000 0.2112
8 Nd 0.8367 0.3367 0.5000
9 Nd 0.8433 0.1355 0.7078
10 Ho 0.3003 0.3003 0.0000
11 Ho 0.6997 0.6997 0.0000

7.
Below is a geometry-optimized Pm5Sm12Y2 structure, with properties calculated at the GGA-PBE level.

Computed properties:
For the energy above the most stable polymorph in this dataset, the calculation gives 0.0 meV/atom. As for the calculated formation energy: 0.13 eV per atom. Its symmetry is C2/m, No. 12.

Lattice parameters (Å, degrees): 11.7406 11.7406 8.7730 108.79 108.79 35.44
Sites, in units of the cell vectors:
1 Pm 0.0000 0.0000 0.0000
2 Pm 0.2494 0.2494 0.9914
3 Pm 0.3495 0.3495 0.4051
4 Pm 0.6505 0.6505 0.5949
5 Pm 0.7506 0.7506 0.0086
6 Sm 0.0530 0.5468 0.7065
7 Sm 0.1459 0.1459 0.5697
8 Sm 0.1503 0.6372 0.1158
9 Sm 0.3628 0.8497 0.8842
10 Sm 0.4516 0.4516 0.8072
11 Sm 0.4532 0.9470 0.2935
12 Sm 0.5468 0.0530 0.7065
13 Sm 0.5484 0.5484 0.1928
14 Sm 0.6372 0.1503 0.1158
15 Sm 0.8497 0.3628 0.8842
16 Sm 0.8541 0.8541 0.4303
17 Sm 0.9470 0.4532 0.2935
18 Y 0.2549 0.7451 0.5000
19 Y 0.7451 0.2549 0.5000

8.
Below is a geometry-optimized Y2Ge4Pd3 structure, with properties calculated at the GGA-PBE level.

Computed properties:
As for the calculated formation energy: -0.75 eV per atom. Its symmetry is Cmce, No. 64.

Lattice parameters (Å, degrees): 8.0985 8.0985 7.5235 90.00 90.00 137.90
Sites, in units of the cell vectors:
1 Y 0.1081 0.8919 0.9102
2 Y 0.3919 0.6081 0.4102
3 Y 0.6081 0.3919 0.5898
4 Y 0.8919 0.1081 0.0898
5 Ge 0.1802 0.8198 0.5288
6 Ge 0.1921 0.3079 0.7500
7 Ge 0.3079 0.1921 0.2500
8 Ge 0.3198 0.6802 0.0288
9 Ge 0.6802 0.3198 0.9712
10 Ge 0.6921 0.8079 0.7500
11 Ge 0.8079 0.6921 0.2500
12 Ge 0.8198 0.1802 0.4712
13 Pd 0.0000 0.0000 0.5000
14 Pd 0.0241 0.4759 0.7500
15 Pd 0.4759 0.0241 0.2500
16 Pd 0.5000 0.5000 0.0000
17 Pd 0.5241 0.9759 0.7500
18 Pd 0.9759 0.5241 0.2500

9.
Below is a geometry-optimized PmPd2Au8 structure, with properties calculated at the GGA-PBE level.

Computed properties:
For the energy above the most stable polymorph in this dataset, the calculation gives 11.8 meV/atom. As for the calculated formation energy: -0.21 eV per atom. Its symmetry is Cmmm, No. 65.

Lattice parameters (Å, degrees): 7.3072 7.3072 4.2310 90.00 90.00 107.33
Sites, in units of the cell vectors:
1 Pm 0.0000 0.0000 0.0000
2 Pd 0.3850 0.6150 0.5000
3 Pd 0.6150 0.3850 0.5000
4 Au 0.0389 0.3154 0.5000
5 Au 0.2485 0.7515 0.0000
6 Au 0.3154 0.0389 0.5000
7 Au 0.3366 0.3366 0.0000
8 Au 0.6634 0.6634 0.0000
9 Au 0.6846 0.9611 0.5000
10 Au 0.7515 0.2485 0.0000
11 Au 0.9611 0.6846 0.5000

10.
Below is a geometry-optimized PmNdHf structure, with properties calculated at the GGA-PBE level.

Computed properties:
For the energy above the most stable polymorph in this dataset, the calculation gives 122.7 meV/atom. As for the calculated formation energy: 0.29 eV per atom. Its symmetry is C2/m, No. 12.

Lattice parameters (Å, degrees): 5.7499 5.7499 11.2142 116.33 116.33 33.83
Sites, in units of the cell vectors:
1 Pm 0.0071 0.0071 0.2183
2 Pm 0.9929 0.9929 0.7817
3 Nd 0.1713 0.1713 0.5866
4 Nd 0.8287 0.8287 0.4134
5 Hf 0.3355 0.3355 0.9389
6 Hf 0.6645 0.6645 0.0611

11.
Below is a geometry-optimized Na2YCuP structure, with properties calculated at the GGA-PBE level.

Computed properties:
As for the calculated formation energy: 0.24 eV per atom. Its symmetry is P4/mmm, No. 123.

Lattice parameters (Å, degrees): 4.7461 4.7461 5.5694 90.00 90.00 90.00
Sites, in units of the cell vectors:
1 Na 0.0000 0.5000 0.0000
2 Na 0.5000 0.0000 0.0000
3 Y 0.0000 0.0000 0.5000
4 Cu 0.0000 0.0000 0.0000
5 P 0.5000 0.5000 0.5000

12.
Below is a geometry-optimized ZnFe2Os structure, with properties calculated at the GGA-PBE level.

Computed properties:
As for the calculated formation energy: 0.13 eV per atom. Its symmetry is P2/m, No. 10.

Lattice parameters (Å, degrees): 2.6181 3.7872 5.1499 90.00 90.09 90.00
Sites, in units of the cell vectors:
1 Zn 0.0000 0.0000 0.0000
2 Fe 0.5001 0.5000 0.2585
3 Fe 0.4999 0.5000 0.7415
4 Os 0.0000 0.0000 0.5000

13.
Below is a geometry-optimized TbPm2Pr2Er structure, with properties calculated at the GGA-PBE level.

Computed properties:
As for the calculated formation energy: 0.06 eV per atom. Its symmetry is Pmma, No. 51.

Lattice parameters (Å, degrees): 7.1015 5.7333 9.9320 90.00 90.00 90.00
Sites, in units of the cell vectors:
1 Tb 0.2500 0.0000 0.1584
2 Tb 0.7500 0.0000 0.8416
3 Pm 0.2500 0.0000 0.8323
4 Pm 0.2500 0.5000 0.3360
5 Pm 0.7500 0.0000 0.1677
6 Pm 0.7500 0.5000 0.6640
7 Pr 0.0000 0.0000 0.5000
8 Pr 0.2500 0.5000 0.6775
9 Pr 0.5000 0.0000 0.5000
10 Pr 0.7500 0.5000 0.3225
11 Er 0.0000 0.5000 0.0000
12 Er 0.5000 0.5000 0.0000

14.
Below is a geometry-optimized Hg2PtCl structure, with properties calculated at the GGA-PBE level.

Computed properties:
For the energy above the most stable polymorph in this dataset, the calculation gives 10.9 meV/atom. The value obtained for the formation energy without anion corrections is -0.047 eV per atom. Its symmetry is P2/m, No. 10.

Lattice parameters (Å, degrees): 3.1873 3.3962 7.9654 90.00 90.21 90.00
Sites, in units of the cell vectors:
1 Hg 0.0028 0.0000 0.2151
2 Hg 0.9972 0.0000 0.7849
3 Pt 0.5000 0.5000 0.0000
4 Cl 0.0000 0.5000 0.5000

15.
Below is a geometry-optimized OsO4 structure, with properties calculated at the GGA-PBE level.

Computed properties:
The value obtained for the formation energy without anion corrections is -0.944 eV per atom. Its symmetry is Fdd2, No. 43.

Lattice parameters (Å, degrees): 6.8188 6.1930 8.0780 55.19 48.22 76.59
Sites, in units of the cell vectors:
1 Os 0.0000 0.0000 0.0000
2 Os 0.2500 0.2500 0.2500
3 O 0.2624 0.9226 0.3398
4 O 0.3210 0.9951 0.8887
5 O 0.3613 0.4548 0.9290
6 O 0.4548 0.3613 0.2549
7 O 0.7747 0.9102 0.3274
8 O 0.9102 0.7747 0.9876
9 O 0.9226 0.2624 0.4753
10 O 0.9951 0.3210 0.7952

16.
Below is a geometry-optimized Cs3SmTl2Cl9 structure, with properties calculated at the GGA-PBE level.

Computed properties:
The value obtained for the formation energy without anion corrections is -1.707 eV per atom. Its symmetry is P-3m1, No. 164.

Lattice parameters (Å, degrees): 8.0978 8.0978 9.9167 90.00 90.00 120.00
Sites, in units of the cell vectors:
1 Cs 0.0000 0.0000 0.0000
2 Cs 0.3333 0.6667 0.6784
3 Cs 0.6667 0.3333 0.3216
4 Sm 0.0000 0.0000 0.5000
5 Tl 0.3333 0.6667 0.1583
6 Tl 0.6667 0.3333 0.8417
7 Cl 0.0000 0.5000 0.0000
8 Cl 0.1580 0.3159 0.3444
9 Cl 0.1580 0.8420 0.3444
10 Cl 0.3159 0.1580 0.6556
11 Cl 0.5000 0.0000 0.0000
12 Cl 0.5000 0.5000 0.0000
13 Cl 0.6841 0.8420 0.3444
14 Cl 0.8420 0.1580 0.6556
15 Cl 0.8420 0.6841 0.6556

17.
Below is a geometry-optimized Dy3MgAl structure, with properties calculated at the GGA-PBE level.

Computed properties:
For the energy above the most stable polymorph in this dataset, the calculation gives 334.2 meV/atom. As for the calculated formation energy: 0.14 eV per atom. Its symmetry is P6_3/mmc, No. 194.

Lattice parameters (Å, degrees): 8.2401 8.2401 4.9385 90.00 90.00 120.00
Sites, in units of the cell vectors:
1 Dy 0.1984 0.3967 0.2500
2 Dy 0.1984 0.8016 0.2500
3 Dy 0.3967 0.1984 0.7500
4 Dy 0.6033 0.8016 0.2500
5 Dy 0.8016 0.1984 0.7500
6 Dy 0.8016 0.6033 0.7500
7 Mg 0.0000 0.0000 0.0000
8 Mg 0.0000 0.0000 0.5000
9 Al 0.3333 0.6667 0.7500
10 Al 0.6667 0.3333 0.2500

18.
Below is a geometry-optimized NaTl2CdSb2 structure, with properties calculated at the GGA-PBE level.

Computed properties:
The value obtained for the formation energy without anion corrections is -0.131 eV per atom. Its symmetry is Pmc2_1, No. 26.

Lattice parameters (Å, degrees): 4.9544 9.3585 7.8192 90.00 90.00 90.00
Sites, in units of the cell vectors:
1 Na 0.0000 0.0481 0.0000
2 Na 0.0000 0.9519 0.5000
3 Tl 0.0000 0.3349 0.3448
4 Tl 0.0000 0.6651 0.8448
5 Tl 0.5000 0.4179 0.0236
6 Tl 0.5000 0.5821 0.5236
7 Cd 0.5000 0.1671 0.6537
8 Cd 0.5000 0.8329 0.1537
9 Sb 0.0000 0.3241 0.7504
10 Sb 0.0000 0.6759 0.2504
11 Sb 0.5000 0.1308 0.2766
12 Sb 0.5000 0.8692 0.7766

19.
Below is a geometry-optimized FeIr2W structure, with properties calculated at the GGA-PBE level.

Computed properties:
For the energy above the most stable polymorph in this dataset, the calculation gives 158.9 meV/atom. As for the calculated formation energy: -0.08 eV per atom. Its symmetry is Cm, No. 8.

Lattice parameters (Å, degrees): 4.7178 4.7178 4.7059 99.70 99.70 33.88
Sites, in units of the cell vectors:
1 Fe 0.0000 0.0000 0.0000
2 Ir 0.4936 0.4936 0.4973
3 Ir 0.7469 0.7469 0.2156
4 W 0.2448 0.2448 0.7244

20.
Below is a geometry-optimized Li2PmPd5 structure, with properties calculated at the GGA-PBE level.

Computed properties:
For the energy above the most stable polymorph in this dataset, the calculation gives 49.4 meV/atom. As for the calculated formation energy: -0.43 eV per atom. Its symmetry is Immm, No. 71.

Lattice parameters (Å, degrees): 6.4507 6.4507 6.4507 146.42 114.65 75.51
Sites, in units of the cell vectors:
1 Li 0.2325 0.2325 0.0000
2 Li 0.7675 0.7675 0.0000
3 Pm 0.5000 0.0000 0.5000
4 Pd 0.0000 0.0000 0.0000
5 Pd 0.0712 0.3606 0.7106
6 Pd 0.3499 0.6394 0.7106
7 Pd 0.6501 0.3606 0.2894
8 Pd 0.9288 0.6394 0.2894

21.
Below is a geometry-optimized Sr2TaCr structure, with properties calculated at the GGA-PBE level.

Computed properties:
For the energy above the most stable polymorph in this dataset, the calculation gives 520.6 meV/atom. As for the calculated formation energy: 1.10 eV per atom. Its symmetry is I-4m2, No. 119.

Lattice parameters (Å, degrees): 5.3578 5.3578 5.3578 120.25 120.25 89.57
Sites, in units of the cell vectors:
1 Sr 0.0000 0.0000 0.0000
2 Sr 0.7500 0.2500 0.5000
3 Ta 0.2500 0.7500 0.5000
4 Cr 0.5000 0.5000 0.0000

22.
Below is a geometry-optimized SrDy4Ga3O12 structure, with properties calculated at the GGA-PBE level.

Computed properties:
The value obtained for the formation energy without anion corrections is -2.580 eV per atom. Its symmetry is Im-3, No. 204.

Lattice parameters (Å, degrees): 7.0962 7.0962 7.0962 109.47 109.47 109.47
Sites, in units of the cell vectors:
1 Sr 0.0000 0.0000 0.0000
2 Dy 0.0000 0.0000 0.5000
3 Dy 0.0000 0.5000 0.0000
4 Dy 0.5000 0.0000 0.0000
5 Dy 0.5000 0.5000 0.5000
6 Ga 0.0000 0.5000 0.5000
7 Ga 0.5000 0.0000 0.5000
8 Ga 0.5000 0.5000 0.0000
9 O 0.1572 0.4816 0.3245
10 O 0.1572 0.8327 0.6755
11 O 0.1673 0.3245 0.8428
12 O 0.3245 0.1572 0.4816
13 O 0.3245 0.8428 0.1673
14 O 0.4816 0.3245 0.1572
15 O 0.5184 0.6755 0.8428
16 O 0.6755 0.1572 0.8327
17 O 0.6755 0.8428 0.5184
18 O 0.8327 0.6755 0.1572
19 O 0.8428 0.1673 0.3245
20 O 0.8428 0.5184 0.6755

23.
Below is a geometry-optimized KCd2Ag4 structure, with properties calculated at the GGA-PBE level.

Computed properties:
For the energy above the most stable polymorph in this dataset, the calculation gives 0.0 meV/atom. As for the calculated formation energy: -0.02 eV per atom. Its symmetry is C2/m, No. 12.

Lattice parameters (Å, degrees): 5.9174 5.9174 5.7250 118.28 118.28 77.35
Sites, in units of the cell vectors:
1 K 0.0000 0.0000 0.0000
2 Cd 0.4984 0.4984 0.2488
3 Cd 0.5016 0.5016 0.7512
4 Ag 0.0005 0.3857 0.6937
5 Ag 0.3857 0.0005 0.6937
6 Ag 0.6143 0.9995 0.3063
7 Ag 0.9995 0.6143 0.3063